A plane-wave DFT calculation with PBE was carried out for a relaxed structure of K2USbSe4.

Geometry as POSCAR:
```
K2USbSe4
1.0
4.344 0.000 0.000
0.000 7.453 0.123
0.000 -2.612 7.557
U Se K Sb
1 4 2 1
Cartesian
2.172 3.727 0.061
0.000 -0.084 6.036
2.172 3.616 6.113
0.000 4.926 1.643
2.172 1.225 1.566
2.172 -1.306 3.778
0.000 2.421 3.840
0.000 0.000 0.000
```

M_tot in μB per formula unit: 2.77
ρ in g/cm³: 5.087
Formation energy from raw total energies in eV per atom: -0.953

A plane-wave DFT calculation with PBE was carried out for a relaxed structure of K2YSbSe4.

Geometry as POSCAR:
```
K2YSbSe4
1.0
-1.215 -2.530 3.159
-3.287 -4.472 -4.846
7.585 -2.541 0.881
K Se Sb Y
2 4 1 1
Cartesian
2.149 -3.507 -1.983
3.185 -2.536 2.020
0.173 -2.851 0.609
2.910 -6.693 -1.416
5.156 -3.212 -0.590
-0.859 -3.801 -3.375
0.000 0.000 0.000
-2.251 -3.501 -0.844
```

M_tot in μB per formula unit: 0.00
ρ in g/cm³: 4.202
Formation energy from raw total energies in eV per atom: -1.236

A plane-wave DFT calculation with PBE was carried out for a relaxed structure of K3Y3SbSe8.

Geometry as POSCAR:
```
K3Y3SbSe8
1.0
8.326 -0.001 0.001
-4.164 7.211 -0.030
0.002 -4.777 7.844
Sb K Se Y
1 3 8 3
Cartesian
0.001 -2.389 3.922
2.081 3.605 -0.014
-2.082 3.605 -0.015
0.000 0.000 0.000
2.129 3.653 5.462
0.000 2.411 2.303
-2.127 3.654 5.462
0.002 -0.033 5.478
2.035 -1.221 2.353
6.291 -1.222 2.354
4.162 2.465 2.338
4.164 0.021 5.513
-2.081 1.217 3.907
4.164 -2.389 3.923
2.082 1.216 3.908
```

M_tot in μB per formula unit: 0.00
ρ in g/cm³: 4.021
Formation energy from raw total energies in eV per atom: -1.444

A plane-wave DFT calculation with PBE was carried out for a relaxed structure of KZnSbSe3.

Geometry as POSCAR:
```
KZnSbSe3
1.0
-0.142 -4.121 0.381
2.885 0.732 8.981
-9.720 0.395 0.650
Zn Se K Sb
2 6 2 2
Cartesian
-1.341 -2.266 8.736
-5.635 -0.728 1.277
-4.511 -2.754 2.284
1.068 -2.406 8.129
-8.045 -0.589 1.884
-6.741 -0.273 5.778
-0.235 -2.721 4.234
-2.466 -0.240 7.728
-5.270 -2.182 8.179
-1.707 -0.812 1.833
0.519 -0.497 6.065
-7.495 -2.497 3.948
```

M_tot in μB per formula unit: 0.00
ρ in g/cm³: 4.145
Formation energy from raw total energies in eV per atom: -0.700

A plane-wave DFT calculation with PBE was carried out for a relaxed structure of K3ZrSb2Se6.

Geometry as POSCAR:
```
K3ZrSb2Se6
1.0
-7.253 -1.330 -0.076
4.241 -2.245 -5.600
2.169 -5.335 5.396
K Se Sb Zr
3 6 2 1
Cartesian
-4.196 -4.155 1.674
-0.422 -4.455 -0.140
3.353 -4.755 -1.954
0.987 -5.157 2.906
-2.060 -1.717 0.670
1.217 -7.193 -0.950
-2.413 -6.905 0.795
-1.830 -3.753 -3.186
1.570 -2.006 -1.075
0.399 -1.939 -3.754
-3.412 -1.636 -1.922
0.000 0.000 0.000
```

M_tot in μB per formula unit: 0.79
ρ in g/cm³: 4.361
Formation energy from raw total energies in eV per atom: -0.892

A plane-wave DFT calculation with PBE was carried out for a relaxed structure of K2SiSb.

Geometry as POSCAR:
```
K2SiSb
1.0
0.000 4.024 4.024
4.024 0.000 4.024
4.024 4.024 0.000
Si K Sb
1 2 1
Cartesian
0.000 0.000 0.000
6.036 6.036 6.036
2.012 2.012 2.012
4.024 4.024 4.024
```

M_tot in μB per formula unit: 0.87
ρ in g/cm³: 2.906
Formation energy from raw total energies in eV per atom: 0.325

A plane-wave DFT calculation with PBE was carried out for a relaxed structure of KSi3Sb.

Geometry as POSCAR:
```
KSi3Sb
1.0
5.366 0.000 0.000
0.000 5.366 0.000
0.000 0.000 5.366
Si K Sb
3 1 1
Cartesian
2.683 0.000 0.000
0.000 2.683 0.000
0.000 0.000 2.683
2.683 2.683 2.683
0.000 0.000 0.000
```

M_tot in μB per formula unit: 0.00
ρ in g/cm³: 2.635
Formation energy from raw total energies in eV per atom: 0.969

A plane-wave DFT calculation with PBE was carried out for a relaxed structure of K2SiSb.

Geometry as POSCAR:
```
K2SiSb
1.0
6.639 0.000 0.000
0.000 6.639 0.000
0.000 0.000 2.924
Si K Sb
1 2 1
Cartesian
0.000 3.320 1.462
0.000 0.000 0.000
3.320 3.320 0.000
3.320 0.000 1.462
```

M_tot in μB per formula unit: 0.00
ρ in g/cm³: 2.938
Formation energy from raw total energies in eV per atom: 0.266

A plane-wave DFT calculation with PBE was carried out for a relaxed structure of K2SiSb.

Geometry as POSCAR:
```
K2SiSb
1.0
-6.172 0.965 1.163
-2.419 -1.910 5.557
4.987 3.349 -2.072
K Si Sb
2 1 1
Cartesian
-4.295 -0.472 3.360
0.000 0.000 0.000
-0.864 0.483 3.423
-2.740 1.921 1.226
```

M_tot in μB per formula unit: 0.00
ρ in g/cm³: 3.322
Formation energy from raw total energies in eV per atom: 0.149

A plane-wave DFT calculation with PBE was carried out for a relaxed structure of KSi3Sb.

Geometry as POSCAR:
```
KSi3Sb
1.0
-1.996 -4.844 0.976
4.907 -2.068 -0.230
0.588 0.812 5.234
Si Sb K
3 1 1
Cartesian
2.453 -1.034 -0.115
0.294 0.406 2.617
-0.998 -2.422 0.488
1.749 -3.050 2.990
0.000 0.000 0.000
```

M_tot in μB per formula unit: 0.00
ρ in g/cm³: 2.689
Formation energy from raw total energies in eV per atom: 1.994

A plane-wave DFT calculation with PBE was carried out for a relaxed structure of K4SiSb.

Geometry as POSCAR:
```
K4SiSb
1.0
0.000 4.810 4.810
4.810 0.000 4.810
4.810 4.810 0.000
Sb K Si
1 4 1
Cartesian
7.215 7.215 7.215
6.011 6.011 3.609
6.011 3.609 6.011
3.609 6.011 6.011
3.609 3.609 3.609
0.000 0.000 0.000
```

M_tot in μB per formula unit: 1.01
ρ in g/cm³: 2.285
Formation energy from raw total energies in eV per atom: 0.492

A plane-wave DFT calculation with PBE was carried out for a relaxed structure of K2SiSb.

Geometry as POSCAR:
```
K2SiSb
1.0
-1.668 -1.573 4.975
-1.703 -2.359 -1.317
3.443 -6.333 -0.847
Si K Sb
1 2 1
Cartesian
0.471 -7.305 0.865
3.422 -6.315 -0.849
0.891 -4.363 -1.080
-0.399 -2.959 1.947
```

M_tot in μB per formula unit: 0.00
ρ in g/cm³: 3.321
Formation energy from raw total energies in eV per atom: 0.149